This record from the Alexandria database describes a geometry-optimized K2Al2H7 structure. The functional is GGA-PBE.

a = 8.0007 Å, b = 9.0685 Å, c = 4.8325 Å
α = 90.00°, β = 92.54°, γ = 90.00°
Space group C2/m (No. 12)
Symmetry-distinct sites (fractional):
K 0.0000 0.2356 0.0000
Al 0.2315 0.5000 0.4847
H 0.0000 0.5000 0.5000
H 0.1127 0.0000 0.2802
H 0.2460 0.3533 0.2915

**Final energy**: -3.086 eV/atom
**D(E_F)**: 4.0 states/eV per cell